(1)
A geometry-optimized Pr2ErIn4 structure. Source: the Alexandria database, functional PBE-GGA.

Cell and atoms, written as POSCAR:
```
Pr2ErIn4
1.0
-3.428 -3.943 0.922
-1.443 0.061 -5.105
7.804 -3.094 0.514
Pr In Er
2 4 1
Direct
0.749 0.749 0.499
0.251 0.251 0.501
0.892 0.392 0.784
0.608 0.108 0.216
0.108 0.608 0.216
0.392 0.892 0.784
0.000 0.000 0.000
```

Properties
For the energy above the most stable polymorph in this dataset, the calculation gives 0.000 eV per atom.

---

(2)
A geometry-optimized BaIn4Pd4 structure. Source: the Alexandria database, functional PBE-GGA.

Cell and atoms, written as POSCAR:
```
BaIn4Pd4
1.0
-4.577 1.488 -1.852
1.623 -4.763 -7.837
-3.973 -7.539 3.759
In Ba Pd
8 2 8
Direct
0.486 0.623 0.110
0.514 0.110 0.377
0.486 0.377 0.890
0.014 0.123 0.610
0.986 0.610 0.877
0.514 0.890 0.623
0.014 0.877 0.390
0.986 0.390 0.123
0.500 0.500 0.500
0.000 0.000 0.000
0.486 0.680 0.818
0.514 0.182 0.680
0.486 0.320 0.182
0.014 0.180 0.318
0.986 0.682 0.180
0.014 0.820 0.682
0.514 0.818 0.320
0.986 0.318 0.820
```

Properties
For the total energy, the calculation gives -4.208 eV/atom.

---

(3)
A geometry-optimized BeFeSe2N structure. Source: the Alexandria database, functional PBE-GGA.

Cell and atoms, written as POSCAR:
```
BeFeSe2N
1.0
4.777 0.000 0.000
0.000 4.777 0.000
0.000 0.000 3.018
Fe Be Se N
1 1 2 1
Direct
0.500 0.500 0.500
0.000 0.000 0.000
0.000 0.500 0.000
0.500 0.000 0.000
0.000 0.000 0.500
```

Properties
The calculation puts the uncorrected formation energy at 0.758 eV/atom. For the energy above the most stable polymorph in this dataset, the calculation gives 0.214 eV per atom.

---

(4)
A geometry-optimized NaZnOF2 structure. Source: the Alexandria database, functional PBE-GGA.

Cell and atoms, written as POSCAR:
```
NaZnOF2
1.0
3.988 0.000 0.000
0.000 3.988 0.000
0.000 0.000 4.223
O Na Zn F
1 1 1 2
Direct
0.000 0.000 0.500
0.000 0.000 0.000
0.500 0.500 0.500
0.500 0.000 0.000
0.000 0.500 0.000
```

Properties
The calculation puts the uncorrected formation energy at -0.851 eV/atom. For the energy above the most stable polymorph in this dataset, the calculation gives 0.880 eV per atom.

---

(5)
A geometry-optimized Ce4Pu2Sn3 structure. Source: the Alexandria database, functional PBE-GGA.

Cell and atoms, written as POSCAR:
```
Ce4Pu2Sn3
1.0
5.181 0.000 0.000
-2.591 5.098 -2.222
0.000 -1.064 9.455
Pu Sn Ce
2 3 4
Direct
0.673 0.347 0.341
0.327 0.653 0.659
0.655 0.309 0.677
0.345 0.691 0.323
0.000 0.000 0.000
0.049 0.098 0.353
0.323 0.645 0.952
0.951 0.902 0.647
0.677 0.355 0.048
```

Properties
For the total energy, the calculation gives -7.503 eV/atom.

---

(6)
A geometry-optimized Tm2RhPb2 structure. Source: the Alexandria database, functional PBE-GGA.

Cell and atoms, written as POSCAR:
```
Tm2RhPb2
1.0
-1.591 -2.912 0.942
1.861 -1.764 -2.307
7.430 0.607 8.108
Tm Rh Pb
2 1 2
Direct
0.576 0.576 0.152
0.424 0.424 0.848
0.000 0.000 0.000
0.811 0.811 0.621
0.189 0.189 0.379
```

Properties
For the total energy, the calculation gives -5.216 eV/atom.

---

(7)
A geometry-optimized Sm3RhSe2 structure. Source: the Alexandria database, functional PBE-GGA.

Cell and atoms, written as POSCAR:
```
Sm3RhSe2
1.0
-1.011 -1.949 -3.587
-2.707 -2.445 2.093
-4.472 8.025 -0.634
Sm Se Rh
3 2 1
Direct
0.934 0.936 0.874
0.279 0.280 0.563
0.590 0.591 0.184
0.762 0.763 0.529
0.107 0.108 0.219
0.434 0.436 0.874
```

Properties
The calculation puts the uncorrected formation energy at -1.429 eV/atom.

---

(8)
A geometry-optimized Ba2MgIn3Au4 structure. Source: the Alexandria database, functional PBE-GGA.

Cell and atoms, written as POSCAR:
```
Ba2MgIn3Au4
1.0
-1.974 -3.605 2.696
2.716 1.394 3.852
-8.164 6.906 3.256
Au In Ba Mg
4 3 2 1
Direct
0.000 0.500 0.374
0.500 0.500 0.000
0.500 0.000 0.626
0.000 0.000 0.000
0.500 0.000 0.876
0.000 0.000 0.500
0.000 0.500 0.124
0.000 0.500 0.760
0.500 0.000 0.240
0.500 0.500 0.500
```

Properties
For the total energy, the calculation gives -3.235 eV/atom.

---

Total magnetization per entry: 0.00; 0.00; 0.05; 1.00; 15.88; 0.00; 0.00; 0.00 μB/f.u.